[1]
VASP calculation (PBE-GGA) on Nb2HgO after structural relaxation.

The structure belongs to space group I-42d (No. 122); the cell edges are 5.157, 5.157 and 12.018 Å and the angles 90.00°, 90.00° and 90.00°. Symmetry generates all atoms from Nb at (0.111, 0.250, 0.125), Hg at (0.000, 0.000, 0.500) and O at (0.000, 0.000, 0.000).

The value obtained for the energy above the most stable polymorph in this dataset is 0.0 meV per atom. Its total moment is 0.0000 μB per atom. Its formation energy (no corrections) is -22 kJ/mol of atoms.

---

[2]
VASP calculation (PBE-GGA) on Nb2HgO after structural relaxation.

The structure belongs to space group Fm-3m (No. 225); the cell edges are 6.381, 6.381 and 6.381 Å and the angles 90.00°, 90.00° and 90.00°. Symmetry generates all atoms from Nb at (0.250, 0.250, 0.250), Hg at (0.000, 0.000, 0.000) and O at (0.000, 0.000, 0.500).

The value obtained for the energy above the most stable polymorph in this dataset is 538.0 meV per atom. Its total moment is 0.0000 μB per atom. Its formation energy (no corrections) is 30 kJ/mol of atoms.

---

[3]
VASP calculation (PBE-GGA) on NbHgO2 after structural relaxation.

The structure belongs to space group I4_1/amd (No. 141, origin choice 2); the cell edges are 6.304, 6.304 and 8.942 Å and the angles 90.00°, 90.00° and 90.00°. Symmetry generates all atoms from Nb at (0.000, 0.250, 0.375), Hg at (0.000, 0.250, 0.875) and O at (0.000, 0.000, 0.500).

Its total moment is 0.0000 μB per atom. Its formation energy (no corrections) is -156 kJ/mol of atoms.

---

[4]
VASP calculation (PBE-GGA) on Nb2HgO6 after structural relaxation.

The structure belongs to space group P-1 (No. 2); the cell edges are 5.327, 5.380 and 5.468 Å and the angles 61.40°, 83.08° and 76.49°. Symmetry generates all atoms from Nb at (0.041, 0.172, 0.148), Hg at (0.500, 0.500, 0.500), O at (0.205, 0.830, 0.497), O at (0.215, 0.468, 0.102) and O at (0.217, 0.064, 0.884).

Its total moment is 0.0000 μB per atom. Its formation energy (no corrections) is -195 kJ/mol of atoms.